DFT (PBE) results for an optimized crystal structure of Tc2HgOs.

Properties
Volume ... 64.4 Å³/cell
DFT formation energy ... 0.47 eV per atom
Space group ... Pm
Total energy ... -30.4 eV for the cell shown
Magnetic moment ... 0.00 μB per cell

Lattice parameters (Å, degrees): 3.9453 2.8100 6.4525 64.27 90.00 90.00
Fractional coordinates of all 4 atoms:
Hg  0.0000  0.5021  0.4983
Os  0.5000  0.7095  0.7899
Tc  0.0000  0.0034  0.9956
Tc  0.5000  0.2849  0.2162



DFT (PBE) results for an optimized crystal structure of TcHgOs.

Properties
Volume ... 57.6 Å³/cell
DFT formation energy ... 0.96 eV per atom
Space group ... F-43m
Total energy ... -19.0 eV for the cell shown
Magnetic moment ... 0.00 μB per cell

Lattice parameters (Å, degrees): 4.3344 4.3344 4.3344 60.00 60.00 60.00
Fractional coordinates of all 3 atoms:
Hg  0.5000  0.5000  0.5000
Os  0.7500  0.7500  0.7500
Tc  0.0000  0.0000  0.0000



DFT (PBE) results for an optimized crystal structure of Tc2HgOs.

Properties
Volume ... 64.3 Å³/cell
DFT formation energy ... 0.43 eV per atom
Space group ... Pmmm
Total energy ... -30.5 eV for the cell shown
Magnetic moment ... 0.00 μB per cell

Lattice parameters (Å, degrees): 2.8245 3.9802 5.7200 90.00 90.00 90.00
Fractional coordinates of all 4 atoms:
Hg  0.5000  0.5000  0.2500
Os  0.5000  0.5000  0.7500
Tc  0.0000  0.0000  0.9622
Tc  0.0000  0.0000  0.5378



DFT (PBE) results for an optimized crystal structure of Th6TcHg3Os2.

Properties
Volume ... 347.2 Å³/cell
DFT formation energy ... -0.28 eV per atom
Space group ... C2/m
Total energy ... -81.6 eV for the cell shown
Magnetic moment ... 0.00 μB per cell

Lattice parameters (Å, degrees): 7.1514 7.1514 8.2034 98.38 98.38 120.09
Fractional coordinates of all 12 atoms:
Th  0.9348  0.6032  0.8051
Th  0.7342  0.7342  0.1966
Th  0.0652  0.3968  0.1949
Th  0.6032  0.9348  0.8051
Th  0.2658  0.2658  0.8034
Th  0.3968  0.0652  0.1949
Tc  0.0000  0.0000  0.0000
Hg  0.1690  0.8310  0.5000
Hg  0.8310  0.1690  0.5000
Hg  0.5000  0.5000  0.5000
Os  0.3336  0.6664  0.0000
Os  0.6664  0.3336  0.0000



DFT (PBE) results for an optimized crystal structure of Ti2TcHgOs.

Properties
Volume ... 112.5 Å³/cell
DFT formation energy ... 2.15 eV per atom
Space group ... P4/mmm
Total energy ... -26.9 eV for the cell shown
Magnetic moment ... 1.85 μB per cell

Lattice parameters (Å, degrees): 4.7971 4.8885 4.7971 90.00 90.00 90.00
Fractional coordinates of all 5 atoms:
Ti  0.0000  0.0000  0.5000
Ti  0.5000  0.0000  0.0000
Os  0.5000  0.5000  0.5000
Hg  0.0000  0.0000  0.0000
Tc  0.0000  0.5000  0.0000



DFT (PBE) results for an optimized crystal structure of HgTe2Os.

Properties
Volume ... 109.8 Å³/cell
E_form (uncorrected) ... 0.16 eV per atom
Space group ... C2/m
Total energy ... -17.2 eV for the cell shown
Magnetic moment ... 0.00 μB per cell

Lattice parameters (Å, degrees): 3.9087 3.9087 8.6057 76.78 76.78 59.98
Fractional coordinates of all 4 atoms:
Hg  0.7500  0.7500  0.7500
Os  0.2500  0.2500  0.2500
Te  0.9751  0.9751  0.0760
Te  0.5249  0.5249  0.4240



DFT (PBE) results for an optimized crystal structure of HgTeOs4.

Properties
Volume ... 106.2 Å³/cell
E_form (uncorrected) ... 1.07 eV per atom
Space group ... F-43m
Total energy ... -41.9 eV for the cell shown
Magnetic moment ... 0.00 μB per cell

Lattice parameters (Å, degrees): 5.3148 5.3148 5.3148 60.00 60.00 60.00
Fractional coordinates of all 6 atoms:
Hg  0.0000  0.0000  0.0000
Te  0.7500  0.7500  0.7500
Os  0.3752  0.8744  0.3752
Os  0.8744  0.3752  0.3752
Os  0.3752  0.3752  0.8744
Os  0.3752  0.3752  0.3752



DFT (PBE) results for an optimized crystal structure of HgTeOs2.

Properties
Volume ... 79.2 Å³/cell
E_form (uncorrected) ... 0.60 eV per atom
Space group ... P4mm
Total energy ... -23.5 eV for the cell shown
Magnetic moment ... 0.00 μB per cell

Lattice parameters (Å, degrees): 2.9496 2.9496 9.0980 90.00 90.00 90.00
Fractional coordinates of all 4 atoms:
Hg  0.5000  0.5000  0.7978
Os  0.0000  0.0000  0.0374
Os  0.5000  0.5000  0.2106
Te  0.0000  0.0000  0.4541